(1)
## Pr2Pa2O7 (PBE-GGA)

Data for a geometry-optimized Pr2Pa2O7 structure.

Unit cell a=5.556 b=5.556 c=5.635 alpha=90.00 beta=90.00 gamma=93.34
Positions (direct):
Pr  0.241  0.241  0.000
Pr  0.759  0.759  0.000
Pa  0.233  0.767  0.500
Pa  0.767  0.233  0.500
O  0.000  0.000  0.265
O  0.000  0.000  0.735
O  0.000  0.500  0.264
O  0.000  0.500  0.736
O  0.500  0.000  0.264
O  0.500  0.000  0.736
O  0.500  0.500  0.500

For the total magnetic moment, the calculation gives 0.0 μB/f.u. The calculated total energy is -100.8 eV per cell. The distance to the lowest polymorph of the same formula is 71.6 meV/atom. The calculation puts the formation energy without anion corrections at -3.4137 eV/atom.

=====

(2)
## Pr6PaO12 (PBE-GGA)

Data for a geometry-optimized Pr6PaO12 structure.

Unit cell a=6.897 b=6.897 c=6.897 alpha=99.11 beta=99.11 gamma=99.11
Positions (direct):
Pr  0.109  0.803  0.641
Pr  0.197  0.359  0.891
Pr  0.359  0.891  0.197
Pr  0.641  0.109  0.803
Pr  0.803  0.641  0.109
Pr  0.891  0.197  0.359
Pa  0.500  0.500  0.500
O  0.062  0.914  0.323
O  0.086  0.677  0.938
O  0.193  0.432  0.553
O  0.323  0.062  0.914
O  0.432  0.553  0.193
O  0.447  0.807  0.568
O  0.553  0.193  0.432
O  0.568  0.447  0.807
O  0.677  0.938  0.086
O  0.807  0.568  0.447
O  0.914  0.323  0.062
O  0.938  0.086  0.677

For the total magnetic moment, the calculation gives 1.2 μB/f.u. The calculated total energy is -161.0 eV per cell. The calculation puts the formation energy without anion corrections at -3.3305 eV/atom.

=====

(3)
## PrPa2O7 (PBE-GGA)

Data for a geometry-optimized PrPa2O7 structure.

Unit cell a=10.905 b=10.905 c=10.905 alpha=20.74 beta=20.74 gamma=20.74
Positions (direct):
Pr  0.000  0.000  0.000
Pa  0.433  0.433  0.433
Pa  0.567  0.567  0.567
O  0.079  0.079  0.079
O  0.218  0.218  0.218
O  0.364  0.364  0.364
O  0.500  0.500  0.500
O  0.636  0.636  0.636
O  0.782  0.782  0.782
O  0.921  0.921  0.921

For the total magnetic moment, the calculation gives 1.1 μB/f.u. The calculated total energy is -91.7 eV per cell. The calculation puts the formation energy without anion corrections at -3.3260 eV/atom.

=====

(4)
## PrPuPaO6 (PBE-GGA)

Data for a geometry-optimized PrPuPaO6 structure.

Unit cell a=5.871 b=5.871 c=4.765 alpha=90.00 beta=90.00 gamma=120.00
Positions (direct):
Pr  0.000  0.000  0.000
Pu  0.333  0.667  0.000
Pa  0.667  0.333  0.500
O  0.361  0.006  0.247
O  0.361  0.355  0.753
O  0.645  0.006  0.753
O  0.645  0.639  0.247
O  0.994  0.355  0.247
O  0.994  0.639  0.753

For the total magnetic moment, the calculation gives 4.0 μB/f.u. The calculated total energy is -87.2 eV per cell. The calculation puts the formation energy without anion corrections at -3.2096 eV/atom.

=====

(5)
## Rb4Pr3PaO8 (PBE-GGA)

Data for a geometry-optimized Rb4Pr3PaO8 structure.

Unit cell a=7.912 b=7.912 c=7.912 alpha=55.85 beta=55.85 gamma=55.85
Positions (direct):
Rb  0.000  0.000  0.000
Rb  0.000  0.500  0.500
Rb  0.500  0.000  0.500
Rb  0.500  0.500  0.000
Pr  0.000  0.000  0.500
Pr  0.000  0.500  0.000
Pr  0.500  0.000  0.000
Pa  0.500  0.500  0.500
O  0.224  0.224  0.224
O  0.250  0.711  0.711
O  0.289  0.289  0.750
O  0.289  0.750  0.289
O  0.711  0.250  0.711
O  0.711  0.711  0.250
O  0.750  0.289  0.289
O  0.776  0.776  0.776

For the total magnetic moment, the calculation gives 1.7 μB/f.u. The calculated total energy is -107.1 eV per cell. The calculation puts the formation energy without anion corrections at -2.4834 eV/atom.

=====

(6)
## Rb2PrPaO6 (PBE-GGA)

Data for a geometry-optimized Rb2PrPaO6 structure.

Unit cell a=6.389 b=6.389 c=6.389 alpha=60.00 beta=60.00 gamma=60.00
Positions (direct):
Rb  0.250  0.250  0.250
Rb  0.750  0.750  0.750
Pr  0.000  0.000  0.000
Pa  0.500  0.500  0.500
O  0.264  0.264  0.736
O  0.264  0.736  0.264
O  0.264  0.736  0.736
O  0.736  0.264  0.264
O  0.736  0.264  0.736
O  0.736  0.736  0.264

For the total magnetic moment, the calculation gives 2.0 μB/f.u. The calculated total energy is -70.8 eV per cell. The calculation puts the formation energy without anion corrections at -2.4795 eV/atom.

=====

The lowest formation energy without anion corrections belongs to which entry?
Pr2Pa2O7

=====

The highest formation energy without anion corrections belongs to which entry?
Rb2PrPaO6

=====

Copy entry 4 word for word.
## PrPuPaO6 (PBE-GGA)

Data for a geometry-optimized PrPuPaO6 structure.

Unit cell a=5.871 b=5.871 c=4.765 alpha=90.00 beta=90.00 gamma=120.00
Positions (direct):
Pr  0.000  0.000  0.000
Pu  0.333  0.667  0.000
Pa  0.667  0.333  0.500
O  0.361  0.006  0.247
O  0.361  0.355  0.753
O  0.645  0.006  0.753
O  0.645  0.639  0.247
O  0.994  0.355  0.247
O  0.994  0.639  0.753

For the total magnetic moment, the calculation gives 4.0 μB/f.u. The calculated total energy is -87.2 eV per cell. The calculation puts the formation energy without anion corrections at -3.2096 eV/atom.